Entry 1:
The following is a PBE-GGA calculation of Pm2Al2Tc2C after structural relaxation, from Alexandria.

Unit cell a=6.0294 b=6.0294 c=7.6841 alpha=123.51 beta=123.51 gamma=35.95
With the nearest neighbours (Å) after each atom.
Sites, in units of the cell vectors:
Pm 0.0721 0.0721 0.2855  2 C 2.62
Pm 0.9279 0.9279 0.7145  2 C 2.62
Al 0.3628 0.3628 0.3249  3 Tc 2.60-2.67, 1 Al 2.70
Al 0.6372 0.6372 0.6751  3 Tc 2.60-2.67, 1 Al 2.70
Tc 0.3071 0.3071 0.9359  1 C 1.97
Tc 0.6929 0.6929 0.0641  1 C 1.97
C 0.5000 0.5000 0.0000  2 Tc 1.97

DFT total energy	-7.08	eV/atom

---

Entry 2:
The following is a PBE-GGA calculation of PmY2AlC after structural relaxation, from Alexandria.

Unit cell a=4.9003 b=4.9003 c=5.0557 alpha=90.00 beta=90.00 gamma=90.00
With the nearest neighbours (Å) after each atom.
Sites, in units of the cell vectors:
Pm 0.0000 0.0000 0.0000  2 C 2.53
Y 0.0000 0.5000 0.5000  2 C 2.45
Y 0.5000 0.0000 0.5000  2 C 2.45
Al 0.5000 0.5000 0.0000  4 Pm 3.47, 8 Y 3.52
C 0.0000 0.0000 0.5000  4 Y 2.45, 2 Pm 2.53

DFT total energy	-6.48	eV/atom

---

Entry 3:
The following is a PBE-GGA calculation of Pm2YAlC after structural relaxation, from Alexandria.

Unit cell a=5.0541 b=5.0541 c=4.8990 alpha=90.00 beta=90.00 gamma=90.00
With the nearest neighbours (Å) after each atom.
Sites, in units of the cell vectors:
Pm 0.0000 0.5000 0.0000  2 C 2.53
Pm 0.5000 0.0000 0.0000  2 C 2.53
Y 0.0000 0.0000 0.5000  2 C 2.45
Al 0.5000 0.5000 0.5000  8 Pm 3.52, 4 Y 3.57
C 0.0000 0.0000 0.0000  2 Y 2.45, 4 Pm 2.53

DFT total energy	-6.07	eV/atom

---

no.,total magnetic moment (μB per atom)
1,0.000
2,0.000
3,0.000